Li3Cu4NiO8: relaxed, PBE+U.

Structure (extended XYZ):
```
16
Lattice="6.303 -0.011 -0.004 3.818 5.016 -0.004 3.697 -1.300 4.803" Properties=species:S:1:pos:R:3 pbc="T T T"
Li 1.848 -0.650 2.402
Li 5.000 -0.655 2.400
Li 6.909 1.853 2.398
Cu 3.757 1.858 2.400
Cu 0.000 0.000 0.000
Cu 3.152 -0.005 -0.002
Cu 1.909 2.508 -0.002
Ni 5.061 2.502 -0.004
O 7.013 0.340 3.928
O 3.481 0.239 3.376
O 8.606 2.611 3.372
O 12.207 2.909 4.026
O 1.611 0.796 0.769
O 5.212 1.094 1.423
O 10.337 3.466 1.419
O 6.806 3.365 0.867
```

Crystal system ... monoclinic
E_tot ... -5.009 eV per atom
Volume ... 152 Å³ per cell